Entry 1:
The following is a DFT calculation (GGA-PBE) of an optimized crystal structure of CaSb3Te.

POSCAR file:
```
CaSb3Te
1.0
-1.543 -4.417 3.302
-1.582 -2.930 -4.659
5.283 -2.168 -0.431
Sb Te Ca
3 1 1
Direct
0.500 0.000 0.000
0.000 0.500 0.000
0.000 0.000 0.500
0.000 0.000 0.000
0.500 0.500 0.500
```

Its offset from the most stable computed form is 0 meV/atom. The calculated volume comes out at 37.56 A^3/atom.

Entry 2:
The following is a DFT calculation (GGA-PBE) of an optimized crystal structure of CaSbTe2.

POSCAR file:
```
CaSbTe2
1.0
7.340 0.025 0.016
5.795 4.504 0.016
5.795 1.998 4.037
Te Ca Sb
2 1 1
Direct
0.497 0.497 0.497
0.003 0.003 0.003
0.250 0.250 0.250
0.750 0.750 0.750
```

The calculated volume comes out at 33.10 A^3/atom. As for the total DFT energy (no corrections): -14.82 eV for the cell shown.

Entry 3:
The following is a DFT calculation (GGA-PBE) of an optimized crystal structure of CaSb2Te.

POSCAR file:
```
CaSb2Te
1.0
-1.721 -3.214 2.535
3.707 -0.057 2.443
-2.557 4.514 3.986
Sb Ca Te
2 1 1
Direct
0.000 0.000 0.084
0.500 0.500 0.140
0.500 0.500 0.642
0.000 0.000 0.634
```

The calculated volume comes out at 32.25 A^3/atom. As for the total DFT energy (no corrections): -15.92 eV for the cell shown.

Which DOS at the Fermi energy belongs to each record? In order, 4.8; 2.6; 1.6 states/eV/cell.